A plane-wave DFT calculation with PBE was carried out for an optimized crystal structure of AlAgI3.

Calculated values
- energy relative to the lowest polymorph listed for this composition (kJ per mole of atoms) = 9.98
- E_form (uncorrected) (eV per atom) = 0.1043
- final energy (eV/atom) = -2.14

Cell: 5.722 5.722 5.722 Å, 90.00 90.00 90.00°
Fractional positions:
Al1 0.000 0.000 0.000
Ag1 0.500 0.500 0.500
I1 0.000 0.500 0.500
I2 0.500 0.000 0.500
I3 0.500 0.500 0.000

=====

A plane-wave DFT calculation with PBE was carried out for an optimized crystal structure of Al2InAgI8.

Calculated values
- E_form (uncorrected) (eV per atom) = -0.5334
- final energy (eV/atom) = -2.66

Cell: 7.401 7.401 10.560 Å, 90.00 90.00 120.00°
Fractional positions:
Al1 0.333 0.667 0.254
Al2 0.667 0.333 0.746
In1 0.000 0.000 0.500
Ag1 0.000 0.000 0.000
I1 0.007 0.329 0.180
I2 0.322 0.993 0.180
I3 0.329 0.322 0.820
I4 0.333 0.667 0.496
I5 0.667 0.333 0.504
I6 0.671 0.678 0.180
I7 0.678 0.007 0.820
I8 0.993 0.671 0.820

=====

A plane-wave DFT calculation with PBE was carried out for an optimized crystal structure of Al2AgIrI.

Calculated values
- E_form (uncorrected) (eV per atom) = 1.2608
- final energy (eV/atom) = -2.89

Cell: 4.701 4.701 5.657 Å, 90.00 90.00 90.00°
Fractional positions:
Al1 0.000 0.500 0.000
Al2 0.500 0.000 0.000
Ag1 0.000 0.000 0.000
Ir1 0.500 0.500 0.500
I1 0.000 0.000 0.500

=====

A plane-wave DFT calculation with PBE was carried out for an optimized crystal structure of AlAgI2N.

Calculated values
- energy relative to the lowest polymorph listed for this composition (kJ per mole of atoms) = 0.00
- E_form (uncorrected) (eV per atom) = 0.1989
- final energy (eV/atom) = -3.40

Cell: 5.900 5.900 3.513 Å, 90.00 90.00 90.00°
Fractional positions:
Al1 0.000 0.000 0.000
Ag1 0.500 0.500 0.500
I1 0.000 0.500 0.000
I2 0.500 0.000 0.000
N1 0.000 0.000 0.500

=====

A plane-wave DFT calculation with PBE was carried out for an optimized crystal structure of AlAgI2N.

Calculated values
- energy relative to the lowest polymorph listed for this composition (kJ per mole of atoms) = 61.80
- E_form (uncorrected) (eV per atom) = 0.8395
- final energy (eV/atom) = -2.76

Cell: 5.936 5.936 4.151 Å, 90.00 90.00 90.00°
Fractional positions:
Al1 0.000 0.000 0.000
Ag1 0.500 0.500 0.500
I1 0.000 0.500 0.500
I2 0.500 0.000 0.500
N1 0.500 0.500 0.000

=====

A plane-wave DFT calculation with PBE was carried out for an optimized crystal structure of NaAl2AgI8.

Calculated values
- E_form (uncorrected) (eV per atom) = -0.6390
- final energy (eV/atom) = -2.64

Cell: 7.423 7.423 10.584 Å, 90.00 90.00 120.00°
Fractional positions:
Na1 0.000 0.000 0.000
Al1 0.333 0.667 0.754
Al2 0.667 0.333 0.246
Ag1 0.000 0.000 0.500
I1 0.009 0.330 0.680
I2 0.321 0.991 0.680
I3 0.330 0.321 0.320
I4 0.333 0.667 0.995
I5 0.667 0.333 0.005
I6 0.670 0.679 0.680
I7 0.679 0.009 0.320
I8 0.991 0.670 0.320

=====

A plane-wave DFT calculation with PBE was carried out for an optimized crystal structure of AlAgI2O.

Calculated values
- energy relative to the lowest polymorph listed for this composition (kJ per mole of atoms) = 0.00
- E_form (uncorrected) (eV per atom) = -0.7453
- final energy (eV/atom) = -3.68

Cell: 5.794 5.794 3.506 Å, 90.00 90.00 90.00°
Fractional positions:
Al1 0.000 0.000 0.000
Ag1 0.500 0.500 0.500
I1 0.000 0.500 0.000
I2 0.500 0.000 0.000
O1 0.000 0.000 0.500

=====

A plane-wave DFT calculation with PBE was carried out for an optimized crystal structure of AlAgI2O.

Calculated values
- energy relative to the lowest polymorph listed for this composition (kJ per mole of atoms) = 95.29
- E_form (uncorrected) (eV per atom) = 0.2423
- final energy (eV/atom) = -2.69

Cell: 5.834 5.834 4.075 Å, 90.00 90.00 90.00°
Fractional positions:
Al1 0.000 0.000 0.000
Ag1 0.500 0.500 0.500
I1 0.000 0.500 0.500
I2 0.500 0.000 0.500
O1 0.500 0.500 0.000

=====

Q: What is the E_form (uncorrected) in the fifth record?
A: 0.8395 eV per atom